*A*
Compound: ZnGePd5
Source: Alexandria
Functional: PBE
Structure: optimized geometry

Values from the calculation:
Space group = No. 123
Total magnetization = 0.00 μB/f.u.

Cell lengths 4.047, 4.047, 6.756 Å; angles 90.00, 90.00, 90.00 degrees
Fractional positions:
Pd (0.500, 0.500, 0.500)
Pd (0.000, 0.500, 0.220)
Pd (0.500, 0.000, 0.220)
Pd (0.000, 0.500, 0.780)
Pd (0.500, 0.000, 0.780)
Zn (0.000, 0.000, 0.500)
Ge (0.500, 0.500, 0.000)

=====

*B*
Compound: ZnGePd5
Source: Alexandria
Functional: PBE
Structure: optimized geometry

Values from the calculation:
Space group = No. 15
Total magnetization = 0.00 μB/f.u.

Cell lengths 6.427, 6.427, 7.931 Å; angles 60.84, 60.84, 81.40 degrees
Fractional positions:
Zn (0.476, 0.524, 0.750)
Zn (0.524, 0.476, 0.250)
Pd (0.244, 0.372, 0.157)
Pd (0.642, 0.157, 0.977)
Pd (0.178, 0.822, 0.750)
Pd (0.358, 0.843, 0.023)
Pd (0.372, 0.244, 0.657)
Pd (0.157, 0.642, 0.477)
Pd (0.756, 0.628, 0.843)
Pd (0.822, 0.178, 0.250)
Pd (0.628, 0.756, 0.343)
Pd (0.843, 0.358, 0.523)
Ge (0.000, 0.000, 0.000)
Ge (0.000, 0.000, 0.500)

=====

Tell me which of them is the least stable. Sure, it is *B*.

=====

*A*
Compound: Pm5Ge
Source: Alexandria
Functional: PBE
Structure: optimized geometry

Values from the calculation:
Space group = No. 65
Total magnetization = 0.00 μB/f.u.

Cell lengths 4.868, 4.791, 8.047 Å; angles 107.32, 90.00, 90.00 degrees
Fractional positions:
Pm (0.000, 0.344, 0.688)
Pm (0.500, 0.840, 0.681)
Pm (0.500, 0.160, 0.319)
Pm (0.500, 0.500, 0.000)
Pm (0.000, 0.656, 0.312)
Ge (0.000, 0.000, 0.000)

=====

*B*
Compound: Pm5Ge
Source: Alexandria
Functional: PBE
Structure: optimized geometry

Values from the calculation:
Space group = No. 140
Total magnetization = 0.00 μB/f.u.

Cell lengths 7.737, 7.737, 8.353 Å; angles 117.59, 117.59, 90.00 degrees
Fractional positions:
Ge (0.750, 0.750, 0.500)
Ge (0.250, 0.250, 0.500)
Pm (0.000, 0.000, 0.000)
Pm (0.500, 0.500, 0.000)
Pm (0.799, 0.989, 0.288)
Pm (0.701, 0.201, 0.712)
Pm (0.989, 0.489, 0.288)
Pm (0.489, 0.299, 0.288)
Pm (0.201, 0.011, 0.712)
Pm (0.011, 0.511, 0.712)
Pm (0.299, 0.799, 0.288)
Pm (0.511, 0.701, 0.712)

=====

Tell me which of them is the least stable. Sure, it is *B*.